1.
VASP calculation (PBE) on an optimized crystal structure of YP2Pt7Pb2.

**DFT formation energy**: -0.6215 eV/atom
**SG**: No. 139
**Total moment**: 0.000 μB/atom
**Calculated density**: 13.31 g/cm³

Cell: 3.992 3.992 15.381 Å, 82.50 82.50 89.96°
Sites, in units of the cell vectors:
1 Y 0.000 0.000 0.000
2 P 0.616 0.616 0.769
3 P 0.384 0.384 0.231
4 Pt 0.500 0.500 0.000
5 Pt 0.309 0.309 0.382
6 Pt 0.691 0.691 0.618
7 Pt 0.927 0.427 0.146
8 Pt 0.427 0.927 0.146
9 Pt 0.573 0.073 0.854
10 Pt 0.073 0.573 0.854
11 Pb 0.789 0.789 0.422
12 Pb 0.211 0.211 0.578

***

2.
VASP calculation (PBE) on an optimized crystal structure of Cr2RuPb.

**DFT formation energy**: 0.4971 eV/atom
**SG**: No. 8
**Total moment**: 0.044 μB/atom
**Calculated density**: 10.56 g/cm³

Cell: 4.774 4.774 4.920 Å, 75.75 75.75 36.78°
Each line ends with the local moment (μB).
Sites, in units of the cell vectors:
1 Cr 0.003 0.003 0.998  2.20
2 Cr 0.729 0.729 0.800  -2.36
3 Pb 0.500 0.500 0.500  0.01
4 Ru 0.267 0.267 0.202  0.00

***

3.
VASP calculation (PBE) on an optimized crystal structure of KAg2SI.

**Energy relative to the elements, uncorrected**: -0.518 eV per atom
**SG**: No. 123
**Total moment**: 0.000 μB/atom
**Calculated density**: 4.50 g/cm³

Cell: 4.851 4.851 6.496 Å, 90.00 90.00 90.00°
Sites, in units of the cell vectors:
1 I 0.500 0.500 0.500
2 K 0.000 0.000 0.500
3 S 0.000 0.000 0.000
4 Ag 0.000 0.500 0.000
5 Ag 0.500 0.000 0.000

***

4.
VASP calculation (PBE) on an optimized crystal structure of TmTlSn2Cl8.

**Energy relative to the elements, uncorrected**: -1.422 eV per atom
**SG**: No. 2
**Total moment**: 0.000 μB/atom
**Calculated density**: 3.76 g/cm³

Cell: 6.876 6.432 8.961 Å, 88.56 86.17 88.01°
Sites, in units of the cell vectors:
1 Tm 0.000 0.000 0.000
2 Tl 0.000 0.000 0.500
3 Sn 0.484 0.493 0.752
4 Sn 0.516 0.507 0.248
5 Cl 0.174 0.782 0.205
6 Cl 0.690 0.766 0.036
7 Cl 0.862 0.251 0.212
8 Cl 0.826 0.218 0.795
9 Cl 0.310 0.234 0.964
10 Cl 0.138 0.749 0.788
11 Cl 0.632 0.723 0.460
12 Cl 0.368 0.277 0.540

***

5.
VASP calculation (PBE) on an optimized crystal structure of Li3Tl4Hg16.

**DFT formation energy**: -0.0918 eV/atom
**SG**: No. 123
**Total moment**: 0.000 μB/atom
**Calculated density**: 11.07 g/cm³

Cell: 6.868 6.868 12.872 Å, 90.00 90.00 90.00°
Sites, in units of the cell vectors:
1 Li 0.000 0.500 0.500
2 Li 0.000 0.000 0.000
3 Li 0.500 0.000 0.500
4 Tl 0.500 0.000 0.805
5 Tl 0.000 0.500 0.195
6 Tl 0.000 0.500 0.805
7 Tl 0.500 0.000 0.195
8 Hg 0.000 0.000 0.785
9 Hg 0.274 0.274 0.000
10 Hg 0.500 0.500 0.794
11 Hg 0.726 0.274 0.000
12 Hg 0.500 0.500 0.206
13 Hg 0.726 0.726 0.000
14 Hg 0.000 0.000 0.215
15 Hg 0.746 0.746 0.621
16 Hg 0.746 0.254 0.379
17 Hg 0.254 0.254 0.621
18 Hg 0.254 0.746 0.379
19 Hg 0.274 0.726 0.000
20 Hg 0.746 0.746 0.379
21 Hg 0.746 0.254 0.621
22 Hg 0.254 0.254 0.379
23 Hg 0.254 0.746 0.621

***

6.
VASP calculation (PBE) on an optimized crystal structure of Y3Ho2Al9.

**DFT formation energy**: -0.3518 eV/atom
**SG**: No. 71
**Total moment**: 0.000 μB/atom
**Calculated density**: 4.48 g/cm³

Cell: 4.475 8.926 8.926 Å, 66.13 75.48 75.48°
Sites, in units of the cell vectors:
1 Y 0.000 0.000 0.000
2 Y 0.700 0.300 0.300
3 Y 0.300 0.700 0.700
4 Ho 0.500 0.302 0.698
5 Ho 0.500 0.698 0.302
6 Al 0.000 0.500 0.500
7 Al 0.672 0.965 0.691
8 Al 0.328 0.035 0.309
9 Al 0.672 0.691 0.965
10 Al 0.328 0.309 0.035
11 Al 0.859 0.865 0.417
12 Al 0.141 0.135 0.583
13 Al 0.859 0.417 0.865
14 Al 0.141 0.583 0.135

***

7.
VASP calculation (PBE) on an optimized crystal structure of TmSnGe2O8.

**Energy relative to the elements, uncorrected**: -1.838 eV per atom
**SG**: No. 119
**Total moment**: 0.088 μB/atom
**Calculated density**: 6.13 g/cm³

Cell: 5.829 5.829 5.829 Å, 107.46 107.46 113.58°
Each line ends with the local moment (μB).
Sites, in units of the cell vectors:
1 Tm 0.250 0.750 0.500  -0.01
2 Sn 0.000 0.000 0.000  -0.01
3 Ge 0.750 0.250 0.500  -0.01
4 Ge 0.500 0.500 0.000  -0.01
5 O 0.372 0.062 0.310  0.09
6 O 0.306 0.488 0.182  0.14
7 O 0.306 0.124 0.818  0.14
8 O 0.752 0.062 0.690  0.09
9 O 0.876 0.694 0.182  0.14
10 O 0.938 0.248 0.310  0.09
11 O 0.938 0.628 0.690  0.09
12 O 0.512 0.694 0.818  0.14

***

8.
VASP calculation (PBE) on an optimized crystal structure of LiMo2Cl.

**Energy relative to the elements, uncorrected**: 0.801 eV per atom
**Polymorph energy (0 for the lowest one)**: 903 meV per atom
**SG**: No. 123
**Total moment**: 0.000 μB/atom
**Calculated density**: 6.15 g/cm³

Cell: 2.725 2.725 8.518 Å, 90.00 90.00 90.00°
Sites, in units of the cell vectors:
1 Cl 0.500 0.500 0.250
2 Li 0.500 0.500 0.750
3 Mo 0.000 0.000 0.010
4 Mo 0.000 0.000 0.490

***

9.
VASP calculation (PBE) on an optimized crystal structure of TiAgPS2.

**Energy relative to the elements, uncorrected**: -0.035 eV per atom
**Polymorph energy (0 for the lowest one)**: 0 meV per atom
**SG**: No. 123
**Total moment**: 0.000 μB/atom
**Calculated density**: 3.97 g/cm³

Cell: 4.688 4.688 4.777 Å, 90.00 90.00 90.00°
Sites, in units of the cell vectors:
1 P 0.000 0.000 0.500
2 S 0.000 0.500 0.000
3 S 0.500 0.000 0.000
4 Ag 0.500 0.500 0.500
5 Ti 0.000 0.000 0.000

***

10.
VASP calculation (PBE) on an optimized crystal structure of NdEu2Pd.

**DFT formation energy**: -0.0944 eV/atom
**Polymorph energy (0 for the lowest one)**: 191 meV per atom
**SG**: No. 166
**Total moment**: 3.675 μB/atom
**Calculated density**: 6.71 g/cm³

Cell: 3.817 3.817 11.098 Å, 80.10 80.10 60.00°
Each line ends with the local moment (μB).
Sites, in units of the cell vectors:
1 Eu 0.108 0.108 0.676  6.90
2 Eu 0.892 0.892 0.324  6.90
3 Nd 0.000 0.000 0.000  0.18
4 Pd 0.500 0.500 0.500  -0.07

***

11.
VASP calculation (PBE) on an optimized crystal structure of NiPSe2.

**Energy relative to the elements, uncorrected**: 0.054 eV per atom
**SG**: No. 71
**Total moment**: 0.000 μB/atom
**Calculated density**: 5.32 g/cm³

Cell: 6.350 6.350 6.350 Å, 148.41 144.66 48.12°
Sites, in units of the cell vectors:
1 Ni 0.000 0.500 0.500
2 P 0.500 0.000 0.500
3 Se 0.851 0.851 0.000
4 Se 0.149 0.149 0.000

***

12.
VASP calculation (PBE) on an optimized crystal structure of AcPm4Nd6.

**DFT formation energy**: 0.3474 eV/atom
**Polymorph energy (0 for the lowest one)**: 44 meV per atom
**SG**: No. 121
**Total moment**: 0.000 μB/atom
**Calculated density**: 6.62 g/cm³

Cell: 7.958 7.958 8.690 Å, 117.25 117.25 90.00°
Sites, in units of the cell vectors:
1 Ac 0.500 0.500 0.000
2 Pm 0.091 0.758 0.849
3 Pm 0.909 0.909 0.151
4 Pm 0.758 0.091 0.849
5 Pm 0.242 0.242 0.151
6 Nd 0.942 0.442 0.384
7 Nd 0.442 0.942 0.384
8 Nd 0.558 0.558 0.616
9 Nd 0.000 0.500 0.000
10 Nd 0.058 0.058 0.616
11 Nd 0.500 0.000 0.000

***

13.
VASP calculation (PBE) on an optimized crystal structure of Zr2CoTc2.

**DFT formation energy**: 0.0148 eV/atom
**SG**: No. 127
**Total moment**: 0.000 μB/atom
**Calculated density**: 8.29 g/cm³

Cell: 6.409 6.409 4.264 Å, 90.00 90.00 90.00°
Sites, in units of the cell vectors:
1 Co 0.000 0.000 0.000
2 Co 0.500 0.500 0.000
3 Tc 0.366 0.866 0.000
4 Tc 0.866 0.634 0.000
5 Tc 0.634 0.134 0.000
6 Tc 0.134 0.366 0.000
7 Zr 0.181 0.681 0.500
8 Zr 0.681 0.819 0.500
9 Zr 0.819 0.319 0.500
10 Zr 0.319 0.181 0.500

***

14.
VASP calculation (PBE) on an optimized crystal structure of KBiNF2.

**Energy relative to the elements, uncorrected**: -1.181 eV per atom
**Polymorph energy (0 for the lowest one)**: 0 meV per atom
**SG**: No. 123
**Total moment**: 0.000 μB/atom
**Calculated density**: 5.25 g/cm³

Cell: 4.743 4.743 4.220 Å, 90.00 90.00 90.00°
Sites, in units of the cell vectors:
1 K 0.500 0.500 0.500
2 N 0.000 0.000 0.500
3 Bi 0.000 0.000 0.000
4 F 0.000 0.500 0.000
5 F 0.500 0.000 0.000

***

15.
VASP calculation (PBE) on an optimized crystal structure of SrCa2ZnPd.

**DFT formation energy**: -0.1945 eV/atom
**Polymorph energy (0 for the lowest one)**: 46 meV per atom
**SG**: No. 123
**Total moment**: 0.000 μB/atom
**Calculated density**: 3.11 g/cm³

Cell: 5.549 5.549 5.887 Å, 90.00 90.00 90.00°
Sites, in units of the cell vectors:
1 Sr 0.000 0.000 0.500
2 Zn 0.500 0.500 0.500
3 Ca 0.000 0.500 0.000
4 Ca 0.500 0.000 0.000
5 Pd 0.000 0.000 0.000

***

16.
VASP calculation (PBE) on an optimized crystal structure of La8P3N4.

**Energy relative to the elements, uncorrected**: -1.173 eV per atom
**SG**: No. 12
**Total moment**: 0.087 μB/atom
**Calculated density**: 5.80 g/cm³

Cell: 7.908 7.986 7.986 Å, 90.01 119.62 119.62°
Each line ends with the local moment (μB).
Sites, in units of the cell vectors:
1 La 0.470 0.223 0.223  0.06
2 La 0.000 0.762 0.238  0.06
3 La 0.979 0.227 0.227  0.06
4 La 0.500 0.759 0.241  0.01
5 La 0.500 0.241 0.759  0.01
6 La 0.021 0.773 0.773  0.06
7 La 0.000 0.238 0.762  0.06
8 La 0.530 0.777 0.777  0.06
9 P 0.500 0.500 0.000  0.00
10 P 0.500 0.000 0.500  0.00
11 P 0.500 0.500 0.500  0.00
12 N 0.500 0.000 0.000  -0.01
13 N 0.000 0.500 0.000  0.00
14 N 0.000 0.000 0.000  0.01
15 N 0.000 0.000 0.500  0.00

***

17.
VASP calculation (PBE) on an optimized crystal structure of AgTe2Cl.

**Energy relative to the elements, uncorrected**: -0.025 eV per atom
**SG**: No. 12
**Total moment**: 0.000 μB/atom
**Calculated density**: 6.18 g/cm³

Cell: 5.182 5.188 5.176 Å, 72.16 69.75 110.34°
Sites, in units of the cell vectors:
1 Te 0.000 0.000 0.000
2 Te 0.000 0.500 0.500
3 Ag 0.500 0.500 0.000
4 Cl 0.500 0.000 0.500

***

18.
VASP calculation (PBE) on an optimized crystal structure of NpTiP2.

**DFT formation energy**: -1.0030 eV/atom
**Polymorph energy (0 for the lowest one)**: 0 meV per atom
**SG**: No. 166
**Total moment**: 0.878 μB/atom
**Calculated density**: 7.87 g/cm³

Cell: 3.730 3.730 6.447 Å, 73.19 73.19 60.00°
Each line ends with the local moment (μB).
Sites, in units of the cell vectors:
1 Np 0.500 0.500 0.500  3.40
2 P 0.259 0.259 0.222  -0.06
3 P 0.741 0.741 0.778  -0.06
4 Ti 0.000 0.000 0.000  0.02

***

19.
VASP calculation (PBE) on an optimized crystal structure of Li2IrCl8.

**Energy relative to the elements, uncorrected**: -0.692 eV per atom
**SG**: No. 12
**Total moment**: 0.188 μB/atom
**Calculated density**: 2.91 g/cm³

Cell: 6.210 7.737 7.737 Å, 49.38 82.69 82.69°
Each line ends with the local moment (μB).
Sites, in units of the cell vectors:
1 Li 0.621 0.843 0.843  0.00
2 Li 0.379 0.157 0.157  0.00
3 Ir 0.000 0.000 0.000  0.69
4 Cl 0.218 0.306 0.808  0.11
5 Cl 0.782 0.192 0.694  0.11
6 Cl 0.220 0.852 0.852  0.09
7 Cl 0.780 0.148 0.148  0.09
8 Cl 0.218 0.808 0.306  0.11
9 Cl 0.782 0.694 0.192  0.11
10 Cl 0.710 0.679 0.679  0.21
11 Cl 0.290 0.321 0.321  0.21

***

20.
VASP calculation (PBE) on an optimized crystal structure of TbPm12Tm6.

**DFT formation energy**: 0.0171 eV/atom
**Polymorph energy (0 for the lowest one)**: 0 meV per atom
**SG**: No. 148
**Total moment**: 0.000 μB/atom
**Calculated density**: 7.76 g/cm³

Cell: 9.503 9.503 9.503 Å, 110.90 110.90 110.90°
Sites, in units of the cell vectors:
1 Tb 0.000 0.000 0.000
2 Pm 0.371 0.056 0.580
3 Pm 0.056 0.580 0.371
4 Pm 0.580 0.371 0.056
5 Pm 0.629 0.944 0.420
6 Pm 0.944 0.420 0.629
7 Pm 0.420 0.629 0.944
8 Pm 0.105 0.158 0.737
9 Pm 0.263 0.895 0.842
10 Pm 0.842 0.263 0.895
11 Pm 0.895 0.842 0.263
12 Pm 0.737 0.105 0.158
13 Pm 0.158 0.737 0.105
14 Tm 0.214 0.318 0.472
15 Tm 0.682 0.528 0.786
16 Tm 0.528 0.786 0.682
17 Tm 0.786 0.682 0.528
18 Tm 0.318 0.472 0.214
19 Tm 0.472 0.214 0.318

***

21.
VASP calculation (PBE) on an optimized crystal structure of ZnCdCo.

**DFT formation energy**: 0.2093 eV/atom
**Polymorph energy (0 for the lowest one)**: 61 meV per atom
**SG**: No. 12
**Total moment**: 0.408 μB/atom
**Calculated density**: 8.55 g/cm³

Cell: 4.322 5.261 5.165 Å, 95.68 65.25 65.80°
Each line ends with the local moment (μB).
Sites, in units of the cell vectors:
1 Cd 0.105 0.571 0.975  -0.02
2 Cd 0.608 0.080 0.458  -0.02
3 Zn 0.324 0.680 0.427  -0.03
4 Zn 0.388 0.971 0.007  -0.03
5 Co 0.886 0.449 0.533  1.32
6 Co 0.827 0.202 0.900  1.31

***

22.
VASP calculation (PBE) on an optimized crystal structure of CaTl6Hg3.

**DFT formation energy**: -0.0612 eV/atom
**SG**: No. 36
**Total moment**: 0.000 μB/atom
**Calculated density**: 10.37 g/cm³

Cell: 6.370 10.276 10.276 Å, 117.19 90.00 90.00°
Sites, in units of the cell vectors:
1 Ca 0.164 0.186 0.814
2 Ca 0.664 0.814 0.186
3 Tl 0.054 0.694 0.616
4 Tl 0.554 0.616 0.694
5 Tl 0.367 0.545 0.950
6 Tl 0.867 0.950 0.545
7 Tl 0.299 0.963 0.037
8 Tl 0.673 0.283 0.717
9 Tl 0.173 0.717 0.283
10 Tl 0.799 0.037 0.963
11 Tl 0.367 0.050 0.455
12 Tl 0.867 0.455 0.050
13 Tl 0.054 0.384 0.306
14 Tl 0.554 0.306 0.384
15 Hg 0.444 0.908 0.682
16 Hg 0.944 0.682 0.908
17 Hg 0.117 0.372 0.628
18 Hg 0.617 0.628 0.372
19 Hg 0.944 0.092 0.318
20 Hg 0.444 0.318 0.092

***

23.
VASP calculation (PBE) on an optimized crystal structure of LaMg11Pd.

**DFT formation energy**: -0.1819 eV/atom
**SG**: No. 12
**Total moment**: 0.000 μB/atom
**Calculated density**: 2.85 g/cm³

Cell: 5.643 7.731 7.805 Å, 82.88 68.81 69.96°
Sites, in units of the cell vectors:
1 La 0.000 0.000 0.000
2 Mg 0.300 0.222 0.206
3 Mg 0.700 0.778 0.794
4 Mg 0.494 0.778 0.206
5 Mg 0.506 0.222 0.794
6 Mg 0.358 0.638 0.660
7 Mg 0.642 0.362 0.340
8 Mg 0.982 0.362 0.660
9 Mg 0.018 0.638 0.340
10 Mg 0.000 0.500 0.000
11 Mg 0.500 0.000 0.500
12 Mg 0.000 0.000 0.500
13 Pd 0.500 0.500 0.000